Entry from Alexandria: crystalline ZnIn2Mo at its relaxed geometry (PBE-GGA).

Values from the calculation:
For the density of states at the Fermi level, the calculation gives 2.91 states/eV/cell. As for the raw total energy: -4.102 eV per atom. For the magnetization, the calculation gives 0.00 μB/cell.

Cell: 3.2230 3.9783 5.8801 Å, 90.00 90.00 90.00°
Fractional positions:
Zn (0.0000, 0.0000, 0.0000)
In (0.5000, 0.5000, 0.2520)
In (0.5000, 0.5000, 0.7480)
Mo (0.0000, 0.0000, 0.5000)